1.
! ZnAsBr2N, PBEsol geometry, DFT meta-GGA SCAN; values from VASP
! Space group   P4/mmm (123)
! Uncorrected energy   -76.780 eV/cell
! Formation energy without anion corrections   1027 meV/atom
! D(E_F)   2.29 states/eV per cell
! Density   4.14 g/cm3
! V   25.188 Å³/atom
&SYSTEM
  ibrav = 0, nat = 5, ntyp = 4
/
ATOMIC_SPECIES
Zn 65.41 Zn.upf
As 74.92 As.upf
Br 79.90 Br.upf
N 14.01 N.upf
ATOMIC_POSITIONS crystal
Zn 0.000 0.000 0.000
As 0.000 0.000 0.500
Br 0.000 0.500 0.000
Br 0.500 0.000 0.000
N 0.500 0.500 0.500
CELL_PARAMETERS angstrom
5.068 0.000 0.000
0.000 5.068 0.000
0.000 0.000 4.903



2.
! La2ScInC, PBEsol geometry, DFT meta-GGA SCAN; values from VASP
! Space group   P4/mmm (123)
! Uncorrected energy   -138.378 eV/cell
! D(E_F)   6.50 states/eV per cell
! Density   4.99 g/cm3
! V   29.926 Å³/atom
&SYSTEM
  ibrav = 0, nat = 5, ntyp = 4
/
ATOMIC_SPECIES
La 138.91 La.upf
Sc 44.96 Sc.upf
In 114.82 In.upf
C 12.01 C.upf
ATOMIC_POSITIONS crystal
La 0.000 0.500 0.000
La 0.500 0.000 0.000
Sc 0.000 0.000 0.500
In 0.500 0.500 0.000
C 0.500 0.500 0.500
CELL_PARAMETERS angstrom
6.168 0.000 0.000
0.000 6.168 0.000
0.000 0.000 3.933



3.
! NaSc2Cr, PBEsol geometry, DFT meta-GGA SCAN; values from VASP
! Space group   R-3m (166)
! Uncorrected energy   -49.458 eV/cell
! D(E_F)   4.21 states/eV per cell
! Density   3.11 g/cm3
! V   22.036 Å³/atom
&SYSTEM
  ibrav = 0, nat = 4, ntyp = 3
/
ATOMIC_SPECIES
Na 22.99 Na.upf
Sc 44.96 Sc.upf
Cr 52.00 Cr.upf
ATOMIC_POSITIONS crystal
Na 0.000 0.000 0.000
Sc 0.103 0.103 0.103
Sc 0.897 0.897 0.897
Cr 0.500 0.500 0.500
CELL_PARAMETERS angstrom
1.551 0.895 10.583
-1.551 0.895 10.583
0.000 -1.790 10.583



4.
! Sr4As, PBEsol geometry, DFT meta-GGA SCAN; values from VASP
! Space group   I4/mmm (139)
! Uncorrected energy   -108.916 eV/cell
! D(E_F)   4.32 states/eV per cell
! Density   3.42 g/cm3
! V   41.323 Å³/atom
&SYSTEM
  ibrav = 0, nat = 5, ntyp = 2
/
ATOMIC_SPECIES
Sr 87.62 Sr.upf
As 74.92 As.upf
ATOMIC_POSITIONS crystal
Sr 0.078 0.078 0.000
Sr 0.250 0.750 0.500
Sr 0.750 0.250 0.500
Sr 0.922 0.922 0.000
As 0.500 0.500 0.000
CELL_PARAMETERS angstrom
-2.242 2.242 10.272
2.242 -2.242 10.272
2.242 2.242 -10.272



5.
! La2YTc, PBEsol geometry, DFT meta-GGA SCAN; values from VASP
! Space group   Fm-3m (225)
! Uncorrected energy   -147.737 eV/cell
! D(E_F)   5.36 states/eV per cell
! Density   7.69 g/cm3
! V   25.102 Å³/atom
&SYSTEM
  ibrav = 0, nat = 4, ntyp = 3
/
ATOMIC_SPECIES
La 138.91 La.upf
Y 88.91 Y.upf
Tc 98.00 Tc.upf
ATOMIC_POSITIONS crystal
La 0.250 0.250 0.250
La 0.750 0.750 0.750
Y 0.000 0.000 0.000
Tc 0.500 0.500 0.500
CELL_PARAMETERS angstrom
0.000 3.689 3.689
3.689 0.000 3.689
3.689 3.689 0.000



6.
! Ba2NiAg, PBEsol geometry, DFT meta-GGA SCAN; values from VASP
! Space group   Amm2 (38)
! Uncorrected energy   -126.629 eV/cell
! D(E_F)   2.72 states/eV per cell
! Density   5.94 g/cm3
! V   30.846 Å³/atom
&SYSTEM
  ibrav = 0, nat = 4, ntyp = 3
/
ATOMIC_SPECIES
Ba 137.33 Ba.upf
Ni 58.69 Ni.upf
Ag 107.87 Ag.upf
ATOMIC_POSITIONS crystal
Ba 0.000 0.000 0.000
Ba 0.500 0.281 0.281
Ni 0.500 0.587 0.587
Ag 0.000 0.697 0.697
CELL_PARAMETERS angstrom
4.593 0.000 0.000
0.000 2.266 5.928
0.000 -2.266 5.928



7.
! SbAs2Br, PBEsol geometry, DFT meta-GGA SCAN; values from VASP
! Space group   Pm (6)
! Uncorrected energy   -96.874 eV/cell
! Formation energy without anion corrections   57 meV/atom
! D(E_F)   1.09 states/eV per cell
! Density   5.80 g/cm3
! V   25.156 Å³/atom
&SYSTEM
  ibrav = 0, nat = 4, ntyp = 3
/
ATOMIC_SPECIES
Sb 121.76 Sb.upf
As 74.92 As.upf
Br 79.90 Br.upf
ATOMIC_POSITIONS crystal
Sb 0.000 0.000 0.000
As 0.641 0.000 0.353
As 0.821 0.500 0.225
Br 0.332 0.500 0.707
CELL_PARAMETERS angstrom
4.178 0.000 0.000
0.000 4.756 0.000
-1.922 0.000 5.064



8.
! LiSi2Sb, PBEsol geometry, DFT meta-GGA SCAN; values from VASP
! Space group   Cm (8)
! Uncorrected energy   -58.698 eV/cell
! Formation energy without anion corrections   246 meV/atom
! D(E_F)   1.41 states/eV per cell
! Density   4.31 g/cm3
! V   17.790 Å³/atom
&SYSTEM
  ibrav = 0, nat = 4, ntyp = 3
/
ATOMIC_SPECIES
Li 6.94 Li.upf
Si 28.09 Si.upf
Sb 121.76 Sb.upf
ATOMIC_POSITIONS crystal
Li 0.000 0.000 0.000
Si 0.239 0.239 0.773
Si 0.514 0.514 0.613
Sb 0.770 0.770 0.257
CELL_PARAMETERS angstrom
4.107 -1.795 0.000
4.107 1.795 0.000
-1.766 0.000 4.826